A plane-wave DFT calculation with GGA-PBE was carried out for a relaxed structure of La5Tb2Th.

```
data_La5Tb2Th
_space_group_name_H-M_alt 'P b a m'
_space_group_IT_number 55
_cell_length_a 7.341
_cell_length_b 14.674
_cell_length_c 5.181
_cell_angle_alpha 90.00
_cell_angle_beta 90.00
_cell_angle_gamma 90.00
loop_
_space_group_symop_operation_xyz
'x,y,z'
'-x,-y,-z'
'-x,-y,z'
'x,y,-z'
'x+1/2,-y+1/2,-z'
'-x+1/2,y+1/2,z'
'-x+1/2,y+1/2,-z'
'x+1/2,-y+1/2,z'
loop_
_atom_site_label
_atom_site_fract_x
_atom_site_fract_y
_atom_site_fract_z
_atom_site_occupancy
La1 0.000 0.000 0.000 1
La2 0.009 0.253 0.000 1
La3 0.247 0.378 0.500 1
Tb1 0.237 0.620 0.500 1
Th1 0.000 0.500 0.000 1
```

- D(E_F): 1.270 states/eV per atom
- Crystal system: orthorhombic
- Magnetization: 0.00 μB/cell
- Total DFT energy (no corrections): -5.14 eV per atom